(1)
Zr2USn (PBE-GGA, optimized geometry); space-group type = P4/mmm, No. 123; E_tot = -8.2410 eV per atom; ΔE_f = -0.144 eV per atom
1.0
4.7238 0.0000 0.0000
0.0000 4.7238 0.0000
0.0000 0.0000 4.0457
Zr U Sn
2 1 1
direct
0.0000 0.5000 0.0000
0.5000 0.0000 0.0000
0.0000 0.0000 0.5000
0.5000 0.5000 0.5000

=====

(2)
Dy2CoGe6 (PBE-GGA, optimized geometry); space-group type = Amm2, No. 38; E_tot = -5.3714 eV per atom; ΔE_f = -0.481 eV per atom
1.0
4.0796 0.0000 0.0000
0.0000 1.9852 10.7621
0.0000 -1.9852 10.7621
Dy Co Ge
2 1 6
direct
0.0000 0.0000 0.0000
0.0000 0.3374 0.3374
0.5000 0.5593 0.5593
0.0000 0.6141 0.6141
0.0000 0.7311 0.7311
0.5000 0.1158 0.1158
0.5000 0.2335 0.2335
0.5000 0.4528 0.4528
0.5000 0.8777 0.8777

=====

(3)
Zn2Ag3Br8 (PBE-GGA, optimized geometry); energy relative to the elements, uncorrected = -50.11 kJ per mole of atoms; space-group type = C2/m, No. 12; E_tot = -2.4027 eV per atom
1.0
6.6094 -4.2187 0.0000
6.6094 4.2187 0.0000
-1.9471 0.0000 6.6434
Zn Ag Br
2 3 8
direct
0.1798 0.1798 0.1261
0.8202 0.8202 0.8739
0.2178 0.7822 0.5000
0.5000 0.5000 0.0000
0.7822 0.2178 0.5000
0.1200 0.6310 0.7441
0.1415 0.1415 0.7618
0.3690 0.8800 0.2559
0.3777 0.3777 0.2587
0.6223 0.6223 0.7413
0.6310 0.1200 0.7441
0.8585 0.8585 0.2382
0.8800 0.3690 0.2559

=====

(4)
Ta2Nb13 (PBE-GGA, optimized geometry); space-group type = R-3m, No. 166; E_tot = -9.5161 eV per atom; ΔE_f = 0.791 eV per atom
1.0
3.6969 2.1344 6.9157
-3.6969 2.1344 6.9157
0.0000 -4.2688 6.9157
Ta Nb
2 13
direct
0.1304 0.1304 0.1304
0.8696 0.8696 0.8696
0.0000 0.0000 0.0000
0.1173 0.1173 0.4965
0.1173 0.4965 0.1173
0.2483 0.2483 0.6436
0.2483 0.6436 0.2483
0.3564 0.7517 0.7517
0.4965 0.1173 0.1173
0.5035 0.8827 0.8827
0.6436 0.2483 0.2483
0.7517 0.3564 0.7517
0.7517 0.7517 0.3564
0.8827 0.5035 0.8827
0.8827 0.8827 0.5035

=====

(5)
CrGa2Tc (PBE-GGA, optimized geometry); space-group type = R3m, No. 160; E_tot = -6.4304 eV per atom; ΔE_f = 0.080 eV per atom
1.0
1.4032 0.8102 8.3508
-1.4032 0.8102 8.3508
0.0000 -1.6203 8.3508
Cr Ga Tc
1 2 1
direct
0.0000 0.0000 0.0000
0.5845 0.5845 0.5845
0.7479 0.7479 0.7479
0.1660 0.1660 0.1660

=====

(6)
PtAuSe2 (PBE-GGA, optimized geometry); energy relative to the elements, uncorrected = -11.62 kJ per mole of atoms; space-group type = R3m, No. 160; E_tot = -4.1922 eV per atom
1.0
1.9156 1.1060 6.6539
-1.9156 1.1060 6.6539
0.0000 -2.2119 6.6539
Pt Au Se
1 1 2
direct
0.0000 0.0000 0.0000
0.2540 0.2540 0.2540
0.5207 0.5207 0.5207
0.7238 0.7238 0.7238

=====

(7)
CaP2W2 (PBE-GGA, optimized geometry); space-group type = I4/mmm, No. 139; E_tot = -8.1347 eV per atom; ΔE_f = -0.389 eV per atom
1.0
-1.9632 1.9632 6.0292
1.9632 -1.9632 6.0292
1.9632 1.9632 -6.0292
Ca P W
1 2 2
direct
0.0000 0.0000 0.0000
0.3751 0.3751 0.0000
0.6249 0.6249 0.0000
0.2500 0.7500 0.5000
0.7500 0.2500 0.5000

=====

(8)
UNb2Tc (PBE-GGA, optimized geometry); space-group type = P4/mmm, No. 123; E_tot = -10.3331 eV per atom; ΔE_f = 0.115 eV per atom
1.0
3.8307 0.0000 0.0000
0.0000 3.8307 0.0000
0.0000 0.0000 5.1139
U Nb Tc
1 2 1
direct
0.0000 0.0000 0.0000
0.0000 0.5000 0.5000
0.5000 0.0000 0.5000
0.5000 0.5000 0.0000

=====

(9)
CsTmPb2I8 (PBE-GGA, optimized geometry); energy relative to the elements, uncorrected = -94.74 kJ per mole of atoms; space-group type = P-1, No. 2; E_tot = -3.0772 eV per atom
1.0
7.7591 0.0000 0.0000
1.4762 7.8523 0.0000
1.6065 2.4593 10.1026
Cs Tm Pb I
1 1 2 8
direct
0.0000 0.0000 0.0000
0.0000 0.0000 0.5000
0.4639 0.4422 0.2370
0.5361 0.5578 0.7630
0.1344 0.7175 0.7359
0.2372 0.8127 0.3118
0.2784 0.2122 0.5025
0.4031 0.2622 0.0249
0.5969 0.7378 0.9751
0.7216 0.7878 0.4975
0.7628 0.1873 0.6882
0.8656 0.2825 0.2641

=====

(10)
HfNbOsRu2 (PBE-GGA, optimized geometry); space-group type = P4/mmm, No. 123; E_tot = -8.7948 eV per atom; ΔE_f = 1.166 eV per atom
1.0
4.6237 0.0000 0.0000
0.0000 4.6237 0.0000
0.0000 0.0000 4.7416
Hf Nb Os Ru
1 1 1 2
direct
0.0000 0.0000 0.0000
0.5000 0.5000 0.5000
0.5000 0.5000 0.0000
0.0000 0.5000 0.5000
0.5000 0.0000 0.5000

=====

(11)
InTeSe (PBE-GGA, optimized geometry); energy relative to the elements, uncorrected = -0.06 kJ per mole of atoms; space-group type = Imm2, No. 44; E_tot = -3.1221 eV per atom
1.0
-1.8372 2.3921 5.2781
1.8372 -2.3921 5.2781
1.8372 2.3921 -5.2781
In Te Se
1 1 1
direct
0.0000 0.0000 0.0000
0.3495 0.3495 0.0000
0.5919 0.5919 0.0000

=====

(12)
TmTh2Ni (PBE-GGA, optimized geometry); space-group type = R-3m, No. 166; E_tot = -6.1024 eV per atom; ΔE_f = 0.171 eV per atom
1.0
1.7806 1.0280 10.3784
-1.7806 1.0280 10.3784
0.0000 -2.0560 10.3784
Tm Th Ni
1 2 1
direct
0.0000 0.0000 0.0000
0.1061 0.1061 0.1061
0.8939 0.8939 0.8939
0.5000 0.5000 0.5000